# PBE with a Hubbard U MnMoOF2, relaxed
# * V: 13.9 Å³ per atom
# * electronic total energy: -6.044 eV per atom
# * Fermi-level density of states: 0.327 states/eV/atom
data_MnMoOF2
_space_group_name_H-M_alt 'P 4/m m m'
_space_group_IT_number 123
_space_group_name_Hall '-P 4 2'
_cell_length_a 4.0499
_cell_length_b 4.0499
_cell_length_c 4.2256
_cell_angle_alpha 90.00
_cell_angle_beta 90.00
_cell_angle_gamma 90.00
loop_
_atom_site_label
_atom_site_fract_x
_atom_site_fract_y
_atom_site_fract_z
_atom_site_occupancy
Mn1 0.0000 0.0000 0.0000 1
Mo1 0.5000 0.5000 0.5000 1
O1 0.0000 0.0000 0.5000 1
F1 0.0000 0.5000 0.0000 1